No. 1
A relaxed InRuPb2 crystal. Source: Alexandria via LeMat-Bulk, functional PBEsol.

Output
density of states at the Fermi level	0.71	states/eV per atom
calculated formation energy	0.2909	eV per atom
theoretical density	11.36	g/cm3

Unit cell a=3.2923 b=3.2923 c=29.4422 alpha=90.00 beta=90.00 gamma=120.00
Closest atoms and distances in Å follow each position.
Space group R3m (No. 160, hexagonal axes)
Asymmetric unit:
In 0.0000 0.0000 0.0000  3 Ru 2.72
Ru 0.0000 0.0000 0.7326  3 In 2.72, 3 Pb 2.78
Pb 0.0000 0.0000 0.2383  9 Pb 3.29-3.59, 3 In 3.38
Pb 0.0000 0.0000 0.4682  3 Ru 2.78

---

No. 2
A relaxed InRuPb3 crystal. Source: Alexandria via LeMat-Bulk, functional PBEsol.

Output
density of states at the Fermi level	1.30	states/eV per atom
calculated formation energy	1.5230	eV per atom
theoretical density	8.30	g/cm3

Unit cell a=5.5133 b=5.5133 c=5.5133 alpha=90.00 beta=90.00 gamma=90.00
Closest atoms and distances in Å follow each position.
Space group Pm-3m (No. 221)
Asymmetric unit:
In 0.0000 0.0000 0.0000  6 Pb 2.76
Ru 0.5000 0.5000 0.5000  12 Pb 3.90
Pb 0.0000 0.0000 0.5000  2 In 2.76

---

No. 3
A relaxed InRuPb2 crystal. Source: Alexandria via LeMat-Bulk, functional PBEsol.

Output
density of states at the Fermi level	0.92	states/eV per atom
calculated formation energy	0.5703	eV per atom
theoretical density	11.87	g/cm3

Unit cell a=4.9482 b=4.9482 c=3.6026 alpha=90.00 beta=90.00 gamma=90.00
Closest atoms and distances in Å follow each position.
Space group P4/mmm (No. 123)
Asymmetric unit:
In 0.0000 0.0000 0.0000  8 Pb 3.06
Ru 0.5000 0.5000 0.0000  8 Pb 3.06
Pb 0.0000 0.5000 0.5000  4 In 3.06, 4 Ru 3.06

---

No. 4
A relaxed InRuPb2 crystal. Source: Alexandria via LeMat-Bulk, functional PBEsol.

Output
density of states at the Fermi level	0.46	states/eV per atom
calculated formation energy	0.2498	eV per atom
theoretical density	11.42	g/cm3

Unit cell a=3.2761 b=3.2761 c=8.5361 alpha=90.00 beta=90.00 gamma=90.00
Closest atoms and distances in Å follow each position.
Space group P4/mmm (No. 123)
Asymmetric unit:
In 0.0000 0.0000 0.0000  4 In 3.28, 8 Pb 3.47
Ru 0.0000 0.0000 0.5000  8 Pb 2.87
Pb 0.5000 0.5000 0.3023  4 Ru 2.87

---

No. 5
A relaxed InRuPb2 crystal. Source: Alexandria via LeMat-Bulk, functional PBEsol.

Output
density of states at the Fermi level	1.09	states/eV per atom
calculated formation energy	0.5626	eV per atom
theoretical density	11.92	g/cm3

Unit cell a=4.5019 b=4.5019 c=8.6663 alpha=90.00 beta=90.00 gamma=90.00
Closest atoms and distances in Å follow each position.
Space group I-4m2 (No. 119)
Asymmetric unit:
In 0.0000 0.0000 0.0000  8 Pb 3.12-3.18, 4 Ru 3.12
Ru 0.0000 0.5000 0.7500  4 In 3.12, 8 Pb 3.12-3.18
Pb 0.0000 0.0000 0.5000  4 Pb 3.12, 4 Ru 3.12, 4 In 3.18
Pb 0.0000 0.5000 0.2500  4 In 3.12, 4 Pb 3.12, 4 Ru 3.18

---

No. 6
A relaxed In2PbS4 crystal. Source: Alexandria via LeMat-Bulk, functional PBEsol.

Output
theoretical density	6.16	g/cm3
energy relative to the elements, uncorrected	-585	meV/atom

Unit cell a=11.5894 b=3.8385 c=13.7067 alpha=90.00 beta=90.00 gamma=90.00
Closest atoms and distances in Å follow each position.
Space group Pnma (No. 62)
Asymmetric unit:
In 0.0661 0.2500 0.1092  6 S 2.54-2.68
In 0.0800 0.2500 0.6000  6 S 2.57-2.66
Pb 0.2413 0.2500 0.3356  8 S 2.99-3.23
S 0.0298 0.7500 0.7178  3 In 2.57-2.62
S 0.0906 0.2500 0.9250  3 In 2.54-2.68
S 0.1260 0.7500 0.4718  3 In 2.58-2.66
S 0.2062 0.7500 0.1651  3 In 2.63